1.
Ni2OsPb | GGA-PBE | relaxed

The structure belongs to space group Pmm2 (No. 25); the cell edges are 2.885, 4.320 and 4.802 Å and the angles 90.00°, 90.00° and 90.00°. The asymmetric unit holds Ni at (0.000, 0.000, 0.000), Ni at (0.000, 0.500, 0.304), Os at (0.500, 0.500, 0.869) and Pb at (0.500, 0.000, 0.492).

As for the density: 14.281 Mg/m³. The value obtained for the calculated formation energy is 0.4985 eV per atom. The density of states at the Fermi level is 1.13 states/eV per atom.

***

2.
SrSi2Sb | GGA-PBE | relaxed

The structure belongs to space group I-42d (No. 122); the cell edges are 7.800, 7.800 and 7.241 Å and the angles 90.00°, 90.00° and 90.00°. The asymmetric unit holds Sr at (0.000, 0.000, 0.000), Si at (0.196, 0.250, 0.625) and Sb at (0.000, 0.000, 0.500).

As for the density: 4.004 Mg/m³. As for the uncorrected formation energy: 0.4 eV per formula unit. The density of states at the Fermi level is 0.68 states/eV per atom.

***

3.
SrYRhCl2 | GGA-PBE | relaxed

The structure belongs to space group P4/mmm (No. 123); the cell edges are 5.233, 5.233 and 5.148 Å and the angles 90.00°, 90.00° and 90.00°. The asymmetric unit holds Sr at (0.000, 0.000, 0.000), Y at (0.500, 0.500, 0.000), Rh at (0.500, 0.500, 0.500) and Cl at (0.000, 0.500, 0.500).

As for the density: 4.127 Mg/m³. As for the uncorrected formation energy: -2.2 eV per formula unit. The density of states at the Fermi level is 0.69 states/eV per atom.

***

4.
PAu3 | GGA-PBE | relaxed

The structure belongs to space group P4/mmm (No. 123); the cell edges are 4.809, 4.809 and 3.067 Å and the angles 90.00°, 90.00° and 90.00°. The asymmetric unit holds P at (0.000, 0.000, 0.000), Au at (0.000, 0.500, 0.500) and Au at (0.500, 0.500, 0.000).

As for the density: 14.562 Mg/m³. The value obtained for the calculated formation energy is 0.3040 eV per atom. The density of states at the Fermi level is 0.37 states/eV per atom.

***

5.
AcTb2Y8 | GGA-PBE | relaxed

The structure belongs to space group C2/m (No. 12); the cell edges are 19.469, 7.103 and 5.542 Å and the angles 90.00°, 93.05° and 90.00°. The asymmetric unit holds Ac at (0.000, 0.000, 0.000), Tb at (0.215, 0.500, 0.246), Y at (0.048, 0.500, 0.239), Y at (0.136, 0.269, 0.730) and Y at (0.190, 0.000, 0.235).

As for the density: 5.451 Mg/m³. The value obtained for the calculated formation energy is 0.1230 eV per atom. The density of states at the Fermi level is 1.74 states/eV per atom.

***

6.
LuHfZn4 | GGA-PBE | relaxed

The structure belongs to space group F-43m (No. 216); the cell edges are 7.481, 7.481 and 7.481 Å and the angles 90.00°, 90.00° and 90.00°. The asymmetric unit holds Lu at (0.000, 0.000, 0.000), Hf at (0.250, 0.250, 0.750) and Zn at (0.124, 0.124, 0.376).

As for the density: 9.756 Mg/m³. The value obtained for the calculated formation energy is -0.2183 eV per atom. The density of states at the Fermi level is 0.98 states/eV per atom.